Record 1
Here is a PBEsol-optimized structure of La2ZnCl from Alexandria via LeMat-Bulk. Energies are from SCAN.

Results
- Calculated volume: 26.33 Å³/atom
- Energy relative to the elements, uncorrected: -1107 meV/atom
- E above lowest polymorph: 0.000 kcal/mol of atoms
- DFT total energy: -28.033 eV per atom

Unit cell a=4.1912 b=4.1912 c=5.9957 alpha=90.00 beta=90.00 gamma=90.00
Last column: nearest neighbours and their distance in Å.
Element x y z (fractional)
La: 0.5000 0.5000 0.0000  4 Zn 2.96, 2 Cl 3.00
Cl: 0.5000 0.5000 0.5000  6 La 2.96-3.00
Zn: 0.0000 0.0000 0.0000  6 La 2.96-3.00
La: 0.0000 0.0000 0.5000  4 Cl 2.96, 2 Zn 3.00

=====

Record 2
Here is a PBEsol-optimized structure of Be2NbCl from Alexandria via LeMat-Bulk. Energies are from SCAN.

Results
- Calculated volume: 13.94 Å³/atom
- Energy relative to the elements, uncorrected: 1119 meV/atom
- DFT total energy: -11.335 eV per atom

Unit cell a=4.2887 b=4.2887 c=4.2887 alpha=60.00 beta=60.00 gamma=60.00
Last column: nearest neighbours and their distance in Å.
Element x y z (fractional)
Cl: 0.0000 0.0000 0.0000  8 Be 2.63
Be: 0.7500 0.7500 0.7500  4 Nb 2.63, 4 Cl 2.63
Be: 0.2500 0.2500 0.2500  4 Cl 2.63, 4 Nb 2.63
Nb: 0.5000 0.5000 0.5000  8 Be 2.63

=====

Record 3
Here is a PBEsol-optimized structure of BeIr2Se from Alexandria via LeMat-Bulk. Energies are from SCAN.

Results
- Calculated volume: 14.26 Å³/atom
- Energy relative to the elements, uncorrected: 166 meV/atom
- E above lowest polymorph: 0.000 kcal/mol of atoms
- DFT total energy: -41.492 eV per atom

Unit cell a=2.7806 b=4.0825 c=5.2106 alpha=90.00 beta=105.35 gamma=90.00
Last column: nearest neighbours and their distance in Å.
Element x y z (fractional)
Ir: 0.3639 0.0000 0.2207  2 Be 2.43, 2 Se 2.48, 2 Ir 2.61-2.63
Be: 0.0000 0.5000 0.0000  4 Ir 2.43, 2 Se 2.61
Se: 0.5000 0.5000 0.5000  4 Ir 2.48, 2 Be 2.61
Ir: 0.6361 0.0000 0.7793  2 Be 2.43, 2 Se 2.48, 2 Ir 2.61-2.63

=====

Record 4
Here is a PBEsol-optimized structure of ReAs2Pb from Alexandria via LeMat-Bulk. Energies are from SCAN.

Results
- Energy of formation from the pure elements: 2.1 eV per formula unit
- Calculated volume: 21.26 Å³/atom
- DFT total energy: -46.300 eV per atom

Unit cell a=2.9997 b=5.7558 c=5.8976 alpha=119.21 beta=104.73 gamma=90.00
Last column: nearest neighbours and their distance in Å.
Element x y z (fractional)
As: 0.3008 0.3008 0.6015  2 Re 2.47
Pb: 0.5000 0.0000 0.0000  2 Pb 3.00, 4 Re 3.25, 4 As 3.32
Re: 0.0000 0.5000 0.0000  4 As 2.47
As: 0.6992 0.6992 0.3985  2 Re 2.47

=====

Record 5
Here is a PBEsol-optimized structure of SnTePd from Alexandria via LeMat-Bulk. Energies are from SCAN.

Results
- Calculated volume: 23.14 Å³/atom
- Energy relative to the elements, uncorrected: -471 meV/atom
- DFT total energy: -35.787 eV per atom

Unit cell a=6.5503 b=6.5923 c=12.8636 alpha=90.00 beta=90.00 gamma=90.00
Last column: nearest neighbours and their distance in Å.
Element x y z (fractional)
Pd: 0.0017 0.1765 0.1294  3 Sn 2.64-2.67, 3 Te 2.67-2.72
Pd: 0.4983 0.8235 0.6294  3 Sn 2.64-2.67, 3 Te 2.67-2.72
Te: 0.8729 0.9491 0.6795  3 Pd 2.67-2.72, 1 Sn 2.91
Te: 0.3729 0.9491 0.8205  3 Pd 2.67-2.72, 1 Sn 2.91
Pd: 0.5017 0.1765 0.3706  3 Sn 2.64-2.67, 3 Te 2.67-2.72
Pd: 0.5017 0.3235 0.8706  3 Sn 2.64-2.67, 3 Te 2.67-2.72
Te: 0.3729 0.5509 0.3205  3 Pd 2.67-2.72, 1 Sn 2.91
Pd: 0.0017 0.3235 0.6294  3 Sn 2.64-2.67, 3 Te 2.67-2.72
Te: 0.6271 0.0509 0.1795  3 Pd 2.67-2.72, 1 Sn 2.91
Pd: 0.9983 0.6765 0.3706  3 Sn 2.64-2.67, 3 Te 2.67-2.72
Sn: 0.6432 0.8181 0.4359  3 Pd 2.64-2.67, 1 Te 2.91
Sn: 0.8568 0.3181 0.4359  3 Pd 2.64-2.67, 1 Te 2.91
Sn: 0.8568 0.1819 0.9359  3 Pd 2.64-2.67, 1 Te 2.91
Sn: 0.3568 0.1819 0.5641  3 Pd 2.64-2.67, 1 Te 2.91
Sn: 0.3568 0.3181 0.0641  3 Pd 2.64-2.67, 1 Te 2.91
Pd: 0.4983 0.6765 0.1294  3 Sn 2.64-2.67, 3 Te 2.67-2.72
Sn: 0.1432 0.8181 0.0641  3 Pd 2.64-2.67, 1 Te 2.91
Sn: 0.6432 0.6819 0.9359  3 Pd 2.64-2.67, 1 Te 2.91
Te: 0.1271 0.4491 0.8205  3 Pd 2.67-2.72, 1 Sn 2.91
Te: 0.8729 0.5509 0.1795  3 Pd 2.67-2.72, 1 Sn 2.91
Sn: 0.1432 0.6819 0.5641  3 Pd 2.64-2.67, 1 Te 2.91
Te: 0.6271 0.4491 0.6795  3 Pd 2.67-2.72, 1 Sn 2.91
Te: 0.1271 0.0509 0.3205  3 Pd 2.67-2.72, 1 Sn 2.91
Pd: 0.9983 0.8235 0.8706  3 Sn 2.64-2.67, 3 Te 2.67-2.72

=====

Record 6
Here is a PBEsol-optimized structure of AlCr2AgP from Alexandria via LeMat-Bulk. Energies are from SCAN.

Results
- Energy of formation from the pure elements: 5.2 eV per formula unit
- Calculated volume: 19.13 Å³/atom
- DFT total energy: -16.209 eV per atom

Unit cell a=4.5556 b=4.5827 c=4.5827 alpha=90.00 beta=90.00 gamma=90.00
Last column: nearest neighbours and their distance in Å.
Element x y z (fractional)
Cr: 0.0000 0.5000 0.0000  2 Al 2.29
P: 0.5000 0.5000 0.5000  8 Cr 3.23, 4 Ag 3.24
Ag: 0.5000 0.0000 0.0000  2 Al 2.28
Cr: 0.0000 0.0000 0.5000  2 Al 2.29
Al: 0.0000 0.0000 0.0000  2 Ag 2.28, 4 Cr 2.29

=====

Record 7
Here is a PBEsol-optimized structure of TlTc2F from Alexandria via LeMat-Bulk. Energies are from SCAN.

Results
- Calculated volume: 15.43 Å³/atom
- Energy relative to the elements, uncorrected: 659 meV/atom
- DFT total energy: -35.846 eV per atom

Unit cell a=4.4355 b=4.4355 c=4.4355 alpha=60.00 beta=60.00 gamma=60.00
Last column: nearest neighbours and their distance in Å.
Element x y z (fractional)
Tc: 0.7500 0.7500 0.7500  4 F 2.72, 4 Tl 2.72
Tl: 0.5000 0.5000 0.5000  8 Tc 2.72
F: 0.0000 0.0000 0.0000  8 Tc 2.72
Tc: 0.2500 0.2500 0.2500  4 Tl 2.72, 4 F 2.72

=====

Record 8
Here is a PBEsol-optimized structure of MgTe6O13 from Alexandria via LeMat-Bulk. Energies are from SCAN.

Results
- Calculated volume: 13.90 Å³/atom
- Energy relative to the elements, uncorrected: -1317 meV/atom
- DFT total energy: -16.792 eV per atom

Unit cell a=8.5853 b=8.5853 c=8.5853 alpha=71.99 beta=71.99 gamma=71.99
Last column: nearest neighbours and their distance in Å.
Element x y z (fractional)
O: 0.6257 0.3827 0.7028  2 Te 1.96-2.04
O: 0.6360 0.8857 0.5448  1 Te 1.89, 1 Mg 2.08
Te: 0.9847 0.6660 0.0677  2 O 1.89-1.97
Te: 0.5831 0.4733 0.1711  3 O 1.89-2.04
O: 0.3004 0.0487 0.7978  1 Te 1.89
O: 0.8981 0.9195 0.6041  2 Te 1.97-2.17, 1 Mg 2.13
O: 0.5448 0.6360 0.8857  1 Te 1.89, 1 Mg 2.08
O: 0.1019 0.0805 0.3959  2 Te 1.97-2.17, 1 Mg 2.13
Te: 0.3340 0.9323 0.0153  2 O 1.89-1.97
O: 0.7978 0.3004 0.0487  1 Te 1.89
O: 0.2022 0.6996 0.9513  1 Te 1.89
O: 0.6173 0.2972 0.3743  2 Te 1.96-2.04
O: 0.3827 0.7028 0.6257  2 Te 1.96-2.04
Te: 0.5267 0.8289 0.4169  3 O 1.89-2.04
O: 0.9195 0.6041 0.8981  2 Te 1.97-2.17, 1 Mg 2.13
O: 0.3640 0.1143 0.4552  1 Te 1.89, 1 Mg 2.08
O: 0.4552 0.3640 0.1143  1 Te 1.89, 1 Mg 2.08
O: 0.9141 0.9141 0.9141  3 Te 2.15
O: 0.9513 0.2022 0.6996  1 Te 1.89
Te: 0.4169 0.5267 0.8289  3 O 1.89-2.04
Te: 0.6660 0.0677 0.9847  2 O 1.89-1.97
Te: 0.0153 0.3340 0.9323  2 O 1.89-1.97
O: 0.3959 0.1019 0.0805  2 Te 1.97-2.17, 1 Mg 2.13
O: 0.0859 0.0859 0.0859  3 Te 2.15
O: 0.6996 0.9513 0.2022  1 Te 1.89
Mg: 0.2548 0.2548 0.2548  6 O 2.08-2.13
O: 0.0805 0.3959 0.1019  2 Te 1.97-2.17, 1 Mg 2.13
Te: 0.9323 0.0153 0.3340  2 O 1.89-1.97
Te: 0.8289 0.4169 0.5267  3 O 1.89-2.04
Mg: 0.7452 0.7452 0.7452  6 O 2.08-2.13
O: 0.6041 0.8981 0.9195  2 Te 1.97-2.17, 1 Mg 2.13
O: 0.3743 0.6173 0.2972  2 Te 1.96-2.04
Te: 0.0677 0.9847 0.6660  2 O 1.89-1.97
Te: 0.4733 0.1711 0.5831  3 O 1.89-2.04
O: 0.8857 0.5448 0.6360  1 Te 1.89, 1 Mg 2.08
O: 0.1143 0.4552 0.3640  1 Te 1.89, 1 Mg 2.08
O: 0.2972 0.3743 0.6173  2 Te 1.96-2.04
Te: 0.1711 0.5831 0.4733  3 O 1.89-2.04
O: 0.7028 0.6257 0.3827  2 Te 1.96-2.04
O: 0.0487 0.7978 0.3004  1 Te 1.89

=====

Record 9
Here is a PBEsol-optimized structure of YAsBr2 from Alexandria via LeMat-Bulk. Energies are from SCAN.

Results
- Calculated volume: 23.61 Å³/atom
- Energy relative to the elements, uncorrected: -725 meV/atom
- E above lowest polymorph: 9.982 kcal/mol of atoms
- DFT total energy: -22.463 eV per atom

Unit cell a=3.4442 b=3.4442 c=7.9615 alpha=90.00 beta=90.00 gamma=90.00
Last column: nearest neighbours and their distance in Å.
Element x y z (fractional)
As: 0.5000 0.5000 0.5000  8 Br 3.40, 4 As 3.44
Br: 0.0000 0.0000 0.2029  4 Y 2.92, 1 Br 3.23
Br: 0.0000 0.0000 0.7971  4 Y 2.92, 1 Br 3.23
Y: 0.5000 0.5000 0.0000  8 Br 2.92

=====

Record 10
Here is a PBEsol-optimized structure of Si3WC from Alexandria via LeMat-Bulk. Energies are from SCAN.

Results
- Calculated volume: 12.27 Å³/atom
- Energy relative to the elements, uncorrected: 1069 meV/atom
- DFT total energy: -20.898 eV per atom

Unit cell a=3.9443 b=3.9443 c=3.9443 alpha=90.00 beta=90.00 gamma=90.00
Last column: nearest neighbours and their distance in Å.
Element x y z (fractional)
Si: 0.5000 0.0000 0.0000  2 C 1.97
Si: 0.0000 0.0000 0.5000  2 C 1.97
C: 0.0000 0.0000 0.0000  6 Si 1.97
W: 0.5000 0.5000 0.5000  12 Si 2.79
Si: 0.0000 0.5000 0.0000  2 C 1.97

=====

| no. | Fermi-level density of states (states/eV/atom) |
| --- | --- |
| 1 | 0.7958 |
| 2 | 0.7099 |
| 3 | 0.4628 |
| 4 | 0.5735 |
| 5 | 0.1906 |
| 6 | 0.6878 |
| 7 | 0.7175 |
| 8 | 0.0000 |
| 9 | 0.4274 |
| 10 | 0.4632 |